This record from Alexandria describes ScNbRh2S after structural relaxation. The functional is PBE.

The calculation puts the magnetic moment at 0.000 μB per atom. As for the density of states at the Fermi level: 1.899 states/eV/atom. The value obtained for the total DFT energy (no corrections) is -6.3765 eV/atom.

The structure belongs to space group P4/mmm (No. 123); the cell edges are 4.590, 4.590 and 4.663 Å and the angles 90.00°, 90.00° and 90.00°. Symmetry generates all atoms from Sc at (0.000, 0.000, 0.000), Nb at (0.500, 0.500, 0.500), Rh at (0.000, 0.500, 0.000) and S at (0.000, 0.000, 0.500).